No. 1
Computed, not measured: an optimized crystal structure of Pr2SiGe3Pt4 at the GGA-PBE level of DFT.

Unit cell a=4.391 b=4.391 c=9.964 alpha=90.00 beta=90.00 gamma=90.00
Element x y z (fractional)
Pr1 0.000 0.500 0.245
Pr2 0.500 0.000 0.755
Si1 0.500 0.500 0.000
Ge1 0.000 0.000 0.000
Ge2 0.000 0.500 0.632
Ge3 0.500 0.000 0.368
Pt1 0.000 0.000 0.500
Pt2 0.000 0.500 0.883
Pt3 0.500 0.000 0.117
Pt4 0.500 0.500 0.500

Results
The space group is P-4m2. The calculation puts the formation energy without anion corrections at -93.8 kJ/mol of atoms.

No. 2
Computed, not measured: an optimized crystal structure of Pr2Si4GePt3 at the GGA-PBE level of DFT.

Unit cell a=4.344 b=4.344 c=9.782 alpha=90.00 beta=90.00 gamma=90.00
Element x y z (fractional)
Pr1 0.000 0.500 0.246
Pr2 0.500 0.000 0.754
Si1 0.000 0.000 0.000
Si2 0.000 0.500 0.636
Si3 0.500 0.000 0.364
Si4 0.500 0.500 0.000
Ge1 0.000 0.000 0.500
Pt1 0.000 0.500 0.882
Pt2 0.500 0.000 0.118
Pt3 0.500 0.500 0.500

Results
The space group is P-4m2. The calculation puts the formation energy without anion corrections at -92.0 kJ/mol of atoms.

No. 3
Computed, not measured: an optimized crystal structure of Pr3Si2GePt9 at the GGA-PBE level of DFT.

Unit cell a=6.474 b=6.474 c=8.714 alpha=90.00 beta=90.00 gamma=120.00
Element x y z (fractional)
Pr1 0.000 0.000 0.000
Pr2 0.333 0.667 0.690
Pr3 0.667 0.333 0.310
Si1 0.333 0.667 0.183
Si2 0.667 0.333 0.817
Ge1 0.000 0.000 0.500
Pt1 0.000 0.500 0.000
Pt2 0.145 0.290 0.285
Pt3 0.145 0.855 0.285
Pt4 0.290 0.145 0.715
Pt5 0.500 0.000 0.000
Pt6 0.500 0.500 0.000
Pt7 0.710 0.855 0.285
Pt8 0.855 0.145 0.715
Pt9 0.855 0.710 0.715

Results
The space group is P-3m1. The calculation puts the formation energy without anion corrections at -71.4 kJ/mol of atoms.

No. 4
Computed, not measured: an optimized crystal structure of Pr3SiGe6Pt2 at the GGA-PBE level of DFT.

Unit cell a=6.033 b=6.033 c=8.291 alpha=90.00 beta=90.00 gamma=120.00
Element x y z (fractional)
Pr1 0.000 0.000 0.000
Pr2 0.333 0.667 0.636
Pr3 0.667 0.333 0.364
Si1 0.000 0.000 0.500
Ge1 0.187 0.375 0.285
Ge2 0.187 0.813 0.285
Ge3 0.375 0.187 0.715
Ge4 0.625 0.813 0.285
Ge5 0.813 0.187 0.715
Ge6 0.813 0.625 0.715
Pt1 0.333 0.667 0.028
Pt2 0.667 0.333 0.972

Results
The space group is P-3m1. The calculation puts the formation energy without anion corrections at -31.1 kJ/mol of atoms.

No. 5
Computed, not measured: an optimized crystal structure of Pr2SmGe3Pt4 at the GGA-PBE level of DFT.

Unit cell a=4.368 b=4.368 c=11.189 alpha=90.00 beta=90.00 gamma=90.00
Element x y z (fractional)
Pr1 0.000 0.500 0.221
Pr2 0.500 0.000 0.779
Sm1 0.000 0.000 0.500
Ge1 0.000 0.500 0.881
Ge2 0.500 0.000 0.119
Ge3 0.500 0.500 0.500
Pt1 0.000 0.000 0.000
Pt2 0.000 0.500 0.660
Pt3 0.500 0.000 0.340
Pt4 0.500 0.500 0.000

Results
The space group is P-4m2. The formation energy from the elements is -0.937 eV per atom.

No. 6
Computed, not measured: an optimized crystal structure of PrSm2Ge2Pt7 at the GGA-PBE level of DFT.

Unit cell a=4.139 b=4.139 c=14.171 alpha=96.27 beta=96.27 gamma=89.17
Element x y z (fractional)
Pr1 0.000 0.000 0.000
Sm1 0.117 0.117 0.359
Sm2 0.883 0.883 0.641
Ge1 0.403 0.403 0.742
Ge2 0.597 0.597 0.258
Pt1 0.061 0.560 0.160
Pt2 0.372 0.372 0.569
Pt3 0.440 0.939 0.840
Pt4 0.500 0.500 0.000
Pt5 0.560 0.061 0.160
Pt6 0.628 0.628 0.431
Pt7 0.939 0.440 0.840

Results
The space group is C2/m. The formation energy from the elements is -0.912 eV per atom.

No. 7
Computed, not measured: an optimized crystal structure of PrSmGePt at the GGA-PBE level of DFT.

Unit cell a=5.164 b=5.164 c=5.164 alpha=60.00 beta=60.00 gamma=60.00
Element x y z (fractional)
Pr1 0.000 0.000 0.000
Sm1 0.500 0.500 0.500
Ge1 0.250 0.250 0.250
Pt1 0.750 0.750 0.750

Results
The space group is F-43m. The formation energy from the elements is -0.833 eV per atom. The calculation puts the energy above the most stable polymorph in this dataset at 157 meV/atom.

No. 8
Computed, not measured: an optimized crystal structure of PrSmGePt at the GGA-PBE level of DFT.

Unit cell a=4.320 b=5.980 c=5.980 alpha=40.26 beta=90.00 gamma=90.00
Element x y z (fractional)
Pr1 0.000 0.000 0.000
Sm1 0.500 0.723 0.723
Ge1 0.500 0.435 0.435
Pt1 0.000 0.274 0.274

Results
The space group is Amm2. The formation energy from the elements is -0.990 eV per atom. The calculation puts the energy above the most stable polymorph in this dataset at 0 meV/atom.

No. 9
Computed, not measured: an optimized crystal structure of Pr3SnGe2Pt9 at the GGA-PBE level of DFT.

Unit cell a=6.527 b=6.527 c=9.488 alpha=90.00 beta=90.00 gamma=120.00
Element x y z (fractional)
Pr1 0.000 0.000 0.000
Pr2 0.333 0.667 0.737
Pr3 0.667 0.333 0.263
Sn1 0.000 0.000 0.500
Ge1 0.333 0.667 0.180
Ge2 0.667 0.333 0.820
Pt1 0.000 0.500 0.000
Pt2 0.140 0.280 0.274
Pt3 0.140 0.860 0.274
Pt4 0.280 0.140 0.726
Pt5 0.500 0.000 0.000
Pt6 0.500 0.500 0.000
Pt7 0.720 0.860 0.274
Pt8 0.860 0.140 0.726
Pt9 0.860 0.720 0.726

Results
The space group is P-3m1. The formation energy from the elements is -0.596 eV per atom.

No. 10
Computed, not measured: an optimized crystal structure of Pr2SnGePt6 at the GGA-PBE level of DFT.

Unit cell a=6.661 b=6.661 c=8.767 alpha=128.51 beta=128.51 gamma=48.99
Element x y z (fractional)
Pr1 0.249 0.249 0.287
Pr2 0.751 0.751 0.713
Sn1 0.000 0.000 0.500
Ge1 0.500 0.500 0.000
Pt1 0.245 0.741 0.752
Pt2 0.252 0.252 0.906
Pt3 0.259 0.755 0.248
Pt4 0.741 0.245 0.752
Pt5 0.748 0.748 0.094
Pt6 0.755 0.259 0.248

Results
The space group is C2/m. The formation energy from the elements is -0.751 eV per atom.

No. 11
Computed, not measured: an optimized crystal structure of Pr2Sn3GePt4 at the GGA-PBE level of DFT.

Unit cell a=4.603 b=4.603 c=10.464 alpha=90.00 beta=90.00 gamma=90.00
Element x y z (fractional)
Pr1 0.000 0.500 0.250
Pr2 0.500 0.000 0.750
Sn1 0.000 0.000 0.000
Sn2 0.000 0.500 0.631
Sn3 0.500 0.000 0.369
Ge1 0.500 0.500 0.000
Pt1 0.000 0.000 0.500
Pt2 0.000 0.500 0.881
Pt3 0.500 0.000 0.119
Pt4 0.500 0.500 0.500

Results
The space group is P-4m2. The formation energy from the elements is -0.847 eV per atom.

No. 12
Computed, not measured: an optimized crystal structure of Pr2TaGe3Pt4 at the GGA-PBE level of DFT.

Unit cell a=4.354 b=4.354 c=10.498 alpha=90.00 beta=90.00 gamma=90.00
Element x y z (fractional)
Pr1 0.000 0.500 0.242
Pr2 0.500 0.000 0.758
Ta1 0.000 0.000 0.500
Ge1 0.000 0.500 0.870
Ge2 0.500 0.000 0.130
Ge3 0.500 0.500 0.500
Pt1 0.000 0.000 0.000
Pt2 0.000 0.500 0.633
Pt3 0.500 0.000 0.367
Pt4 0.500 0.500 0.000

Results
The space group is P-4m2. The formation energy from the elements is -0.856 eV per atom.

Going through the records in order, we get total moment values of 0.000 0.000 0.000 0.000 0.000 0.000 0.000 0.000 0.000 0.000 0.000 0.000 μB per formula unit.